Here is a relaxed structure of K2CoBBr from the Alexandria database. Energies are from PBE-GGA.

Computed properties:
crystal system	tetragonal

```
data_K2CoBBr
_chemical_formula_sum 'K2 Co1 B1 Br1'
_space_group_name_H-M_alt 'P 4/m m m'
_space_group_IT_number 123
_space_group_name_Hall '-P 4 2'
_cell_length_a 6.291
_cell_length_b 6.291
_cell_length_c 4.376
_cell_angle_alpha 90.00
_cell_angle_beta 90.00
_cell_angle_gamma 90.00
loop_
_atom_site_label
_atom_site_fract_x
_atom_site_fract_y
_atom_site_fract_z
_atom_site_occupancy
K1 0.000 0.500 0.000 1
Co1 0.000 0.000 0.000 1
B1 0.500 0.500 0.500 1
Br1 0.000 0.000 0.500 1
```


Here is a relaxed structure of LaCo2BBr from the Alexandria database. Energies are from PBE-GGA.

Computed properties:
crystal system	tetragonal

```
data_LaCo2BBr
_chemical_formula_sum 'La1 Co2 B1 Br1'
_space_group_name_H-M_alt 'P 4/m m m'
_space_group_IT_number 123
_space_group_name_Hall '-P 4 2'
_cell_length_a 4.686
_cell_length_b 4.686
_cell_length_c 5.856
_cell_angle_alpha 90.00
_cell_angle_beta 90.00
_cell_angle_gamma 90.00
loop_
_atom_site_label
_atom_site_fract_x
_atom_site_fract_y
_atom_site_fract_z
_atom_site_occupancy
La1 0.000 0.000 0.000 1
Co1 0.000 0.500 0.000 1
B1 0.500 0.500 0.500 1
Br1 0.000 0.000 0.500 1
```


no.,DFT total energy (eV/cell),formation energy without anion corrections (meV per atom)
1,-12.7,986
2,-18.6,1779